Here is crystalline MnAl2Tl at its relaxed geometry from the Alexandria database. Energies are from GGA-PBE.

Values from the calculation:
- DFT formation energy (eV/f.u.) = 1.81
- magnetization (μB/cell) = 3.54
- density of states at the Fermi level (states/eV/f.u.) = 3.22
- energy relative to the lowest polymorph listed for this composition (eV per atom) = 0.391

Unit cell a=4.768 b=4.768 c=4.768 alpha=60.00 beta=60.00 gamma=60.00
Fractional coordinates of all 4 atoms:
Al (0.000, 0.000, 0.000)
Mn (0.500, 0.500, 0.500)
Al (0.250, 0.250, 0.250)
Tl (0.750, 0.750, 0.750)